(1)
{"formula": "Ac2Al3Zn4Hg", "functional": "PBE", "state": "optimized geometry", "lattice": [[-4.0930, 0.3362, 1.8390], [1.8286, -0.1997, 4.1065], [0.9419, 10.8689, 0.1092]], "species": ["Ac", "Ac", "Al", "Al", "Al", "Zn", "Zn", "Zn", "Zn", "Hg"], "frac_coords": [[0.5000, 0.0000, 0.2413], [0.0000, 0.5000, 0.7587], [0.0000, 0.0000, 0.5000], [0.5000, 0.0000, 0.8758], [0.0000, 0.5000, 0.1242], [0.5000, 0.5000, 0.0000], [0.0000, 0.0000, 0.0000], [0.5000, 0.0000, 0.6407], [0.0000, 0.5000, 0.3593], [0.5000, 0.5000, 0.5000]]}

---

(2)
{"formula": "AcAl2Zn4Hg", "functional": "PBE", "state": "optimized geometry", "lattice": [[4.4421, 0.0000, 0.0000], [2.2210, 3.8469, 0.0000], [2.2210, 1.2823, 9.7835]], "species": ["Ac", "Al", "Al", "Zn", "Zn", "Zn", "Zn", "Hg"], "frac_coords": [[0.0000, 0.0000, 0.0000], [0.7473, 0.7473, 0.7582], [0.2527, 0.2527, 0.2418], [0.4045, 0.4045, 0.7865], [0.8820, 0.8820, 0.3541], [0.1180, 0.1180, 0.6459], [0.5955, 0.5955, 0.2135], [0.5000, 0.5000, 0.5000]]}

---

(3)
{"formula": "AcHoAl4", "functional": "PBE", "state": "optimized geometry", "lattice": [[-3.2288, -2.6026, -1.4994], [2.1523, -3.5402, 1.5104], [-3.1405, 3.7282, 6.7761]], "species": ["Ac", "Ho", "Al", "Al", "Al", "Al"], "frac_coords": [[0.2500, 0.7500, 0.5000], [0.0000, 0.0000, 0.0000], [0.6636, 0.1636, 0.3271], [0.5805, 0.5805, 0.1610], [0.8364, 0.3364, 0.6729], [0.4195, 0.4195, 0.8390]]}

---

(4)
{"formula": "AcHoAl", "functional": "PBE", "state": "optimized geometry", "lattice": [[5.7396, 0.0000, 0.0000], [2.8698, 8.2874, 0.0000], [2.8698, 0.0000, 8.2874]], "species": ["Ho", "Ho", "Ho", "Ho", "Al", "Al", "Al", "Al", "Ac", "Ac", "Ac", "Ac"], "frac_coords": [[0.1905, 0.0000, 0.6189], [0.8095, 0.3811, 0.0000], [0.8095, 0.0000, 0.3811], [0.1905, 0.6189, 0.0000], [0.0000, 0.3871, 0.6129], [0.6129, 0.3871, 0.3871], [0.3871, 0.6129, 0.6129], [0.0000, 0.6129, 0.3871], [0.5000, 0.2395, 0.7605], [0.2605, 0.2395, 0.2395], [0.7395, 0.7605, 0.7605], [0.5000, 0.7605, 0.2395]]}

---

(5)
{"formula": "AcHoAl4", "functional": "PBE", "state": "optimized geometry", "lattice": [[5.7436, 0.0000, 0.0000], [2.8718, 4.9741, 0.0000], [2.8718, 1.6580, 4.6896]], "species": ["Ac", "Ho", "Al", "Al", "Al", "Al"], "frac_coords": [[0.2500, 0.2500, 0.2500], [0.0000, 0.0000, 0.0000], [0.6252, 0.6252, 0.1244], [0.6252, 0.1244, 0.6252], [0.6252, 0.6252, 0.6252], [0.1244, 0.6252, 0.6252]]}

---

(6)
{"formula": "AcHo2Al9", "functional": "PBE", "state": "optimized geometry", "lattice": [[-3.7726, -1.9147, -3.7797], [-3.3600, -4.3782, 1.3140], [-8.3958, 3.4765, 2.3613]], "species": ["Ac", "Ho", "Ho", "Al", "Al", "Al", "Al", "Al", "Al", "Al", "Al", "Al"], "frac_coords": [[0.0000, 0.0000, 0.0000], [0.8582, 0.8582, 0.4255], [0.1418, 0.1418, 0.5745], [0.6639, 0.6639, 0.0084], [0.3361, 0.3361, 0.9916], [0.5000, 0.5000, 0.5000], [0.4110, 0.4110, 0.2547], [0.9234, 0.4110, 0.2547], [0.4110, 0.9234, 0.2547], [0.5890, 0.5890, 0.7453], [0.5890, 0.0766, 0.7453], [0.0766, 0.5890, 0.7453]]}

---

(7)
{"formula": "AcHoAl2", "functional": "PBE", "state": "optimized geometry", "lattice": [[-1.3732, 3.4969, 0.2193], [-1.2066, 1.7460, -3.1076], [-9.6099, -1.7772, 0.4541]], "species": ["Ac", "Ho", "Al", "Al"], "frac_coords": [[0.5000, 0.5000, 0.5000], [0.0000, 0.0000, 0.0000], [0.7437, 0.7437, 0.7690], [0.2563, 0.2563, 0.2310]]}

---

(8)
{"formula": "Ac3HoAl8", "functional": "PBE", "state": "optimized geometry", "lattice": [[5.8237, 0.0000, 0.0000], [2.9118, 5.0435, 0.0000], [2.9118, 1.6812, 9.5300]], "species": ["Ac", "Ac", "Ac", "Ho", "Al", "Al", "Al", "Al", "Al", "Al", "Al", "Al"], "frac_coords": [[0.3748, 0.3748, 0.8756], [0.9999, 0.9999, 0.0004], [0.5002, 0.5002, 0.4994], [0.8748, 0.8748, 0.3756], [0.9344, 0.4358, 0.1940], [0.4417, 0.9389, 0.6804], [0.4358, 0.4358, 0.1940], [0.9389, 0.9389, 0.6804], [0.1882, 0.1882, 0.4355], [0.6866, 0.6866, 0.9401], [0.4358, 0.9344, 0.1940], [0.9389, 0.4417, 0.6804]]}

---

(9)
{"formula": "AcHoAl3", "functional": "PBE", "state": "optimized geometry", "lattice": [[-4.3265, -0.5506, 0.6333], [-0.2487, -2.4399, -3.8209], [2.5629, -9.9329, 8.8735]], "species": ["Ac", "Ac", "Ho", "Ho", "Al", "Al", "Al", "Al", "Al", "Al"], "frac_coords": [[0.2500, 0.0759, 0.1518], [0.7500, 0.9241, 0.8482], [0.2500, 0.7950, 0.5900], [0.7500, 0.2050, 0.4100], [0.2500, 0.3759, 0.7519], [0.7500, 0.6241, 0.2481], [0.2500, 0.4751, 0.9503], [0.7500, 0.5249, 0.0497], [0.7500, 0.3212, 0.6423], [0.2500, 0.6788, 0.3577]]}

---

(10)
{"formula": "AcHoAl", "functional": "PBE", "state": "optimized geometry", "lattice": [[3.6907, 0.0000, 0.0000], [0.0000, 3.6907, 0.0000], [-1.8454, -1.8454, 6.8194]], "species": ["Ac", "Ho", "Al"], "frac_coords": [[0.0154, 0.0154, 0.0308], [0.3046, 0.3046, 0.6091], [0.6800, 0.6800, 0.3600]]}

---

(11)
{"formula": "AcHo3Al8", "functional": "PBE", "state": "optimized geometry", "lattice": [[-1.1553, -3.0146, 4.6075], [4.8277, 2.8677, -0.3480], [-4.1276, 7.4113, 3.8143]], "species": ["Ac", "Ho", "Ho", "Ho", "Al", "Al", "Al", "Al", "Al", "Al", "Al", "Al"], "frac_coords": [[0.0000, 0.0000, 0.5669], [0.6667, 0.3333, 0.4269], [0.6667, 0.3333, 0.0660], [0.0000, 0.0000, 0.9332], [0.3333, 0.6667, 0.4947], [0.3333, 0.6667, 0.0039], [0.5045, 0.0089, 0.7612], [0.5045, 0.4955, 0.7612], [0.9911, 0.4955, 0.7612], [0.1624, 0.3249, 0.2416], [0.1624, 0.8376, 0.2416], [0.6751, 0.8376, 0.2416]]}

---

(12)
{"formula": "AcHo3Al8", "functional": "PBE", "state": "optimized geometry", "lattice": [[-1.8095, 3.4153, 4.0810], [-5.3032, 1.8622, -0.0391], [-4.9996, -5.6218, 6.3588]], "species": ["Ac", "Ho", "Ho", "Ho", "Al", "Al", "Al", "Al", "Al", "Al", "Al", "Al"], "frac_coords": [[0.8746, 0.8746, 0.3763], [0.3758, 0.3758, 0.8726], [0.0004, 0.0004, 0.9987], [0.4982, 0.4982, 0.5054], [0.9425, 0.4400, 0.1774], [0.4325, 0.9357, 0.6960], [0.4400, 0.4400, 0.1774], [0.9357, 0.9357, 0.6960], [0.1862, 0.1862, 0.4413], [0.6882, 0.6882, 0.9355], [0.4400, 0.9425, 0.1774], [0.9357, 0.4325, 0.6960]]}

---

(13)
{"formula": "AcHoAl2", "functional": "PBE", "state": "optimized geometry", "lattice": [[-2.8479, -1.5269, -1.9784], [-1.3946, -1.5179, 3.1792], [-4.0966, 6.1590, 1.1436]], "species": ["Ac", "Ho", "Al", "Al"], "frac_coords": [[0.5000, 0.5000, 0.5000], [0.5000, 0.5000, 0.0000], [0.0000, 0.0000, 0.7888], [0.0000, 0.0000, 0.2112]]}

---

(14)
{"formula": "AcHo5Al4", "functional": "PBE", "state": "optimized geometry", "lattice": [[3.6021, 0.0000, 0.0000], [0.0000, 3.6021, 0.0000], [0.0000, 0.0000, 19.8791]], "species": ["Ac", "Ho", "Ho", "Ho", "Ho", "Ho", "Al", "Al", "Al", "Al"], "frac_coords": [[0.0000, 0.0000, 0.0000], [0.5000, 0.5000, 0.1415], [0.5000, 0.5000, 0.3217], [0.5000, 0.5000, 0.5000], [0.5000, 0.5000, 0.6783], [0.5000, 0.5000, 0.8585], [0.0000, 0.0000, 0.2306], [0.0000, 0.0000, 0.4106], [0.0000, 0.0000, 0.5894], [0.0000, 0.0000, 0.7694]]}

---

(15)
{"formula": "AcHoAl", "functional": "PBE", "state": "optimized geometry", "lattice": [[-3.9397, 0.6612, 0.5199], [-1.0717, -3.3184, -3.9008], [0.3523, -1.7644, 4.9132]], "species": ["Ac", "Ho", "Al"], "frac_coords": [[0.9916, 0.0000, 0.0000], [0.4717, 0.3333, 0.6667], [0.5367, 0.6667, 0.3333]]}

---

(16)
{"formula": "AcHo4Al4", "functional": "PBE", "state": "optimized geometry", "lattice": [[-3.3327, -3.3737, -3.2432], [-2.5793, -4.7479, 7.5894], [-7.1369, 5.8585, 1.2396]], "species": ["Ac", "Ac", "Ho", "Ho", "Ho", "Ho", "Ho", "Ho", "Ho", "Ho", "Al", "Al", "Al", "Al", "Al", "Al", "Al", "Al"], "frac_coords": [[0.0000, 0.0000, 0.0000], [0.5000, 0.5000, 0.5000], [0.3733, 0.4151, 0.8517], [0.8733, 0.6483, 0.9151], [0.3733, 0.5849, 0.1483], [0.1267, 0.0849, 0.6483], [0.6267, 0.8517, 0.5849], [0.1267, 0.9151, 0.3517], [0.8733, 0.3517, 0.0849], [0.6267, 0.1483, 0.4151], [0.6176, 0.8686, 0.2395], [0.6176, 0.1314, 0.7605], [0.1176, 0.7395, 0.6314], [0.8824, 0.3686, 0.7395], [0.8824, 0.6314, 0.2605], [0.3824, 0.2395, 0.1314], [0.3824, 0.7605, 0.8686], [0.1176, 0.2605, 0.3686]]}

---

(17)
{"formula": "AcHo5Al3", "functional": "PBE", "state": "optimized geometry", "lattice": [[6.7632, 0.0000, 0.0000], [0.0000, 7.9505, -4.5903], [0.0000, -0.0004, 9.1796]], "species": ["Ac", "Ac", "Ho", "Ho", "Ho", "Ho", "Ho", "Ho", "Ho", "Ho", "Ho", "Ho", "Al", "Al", "Al", "Al", "Al", "Al"], "frac_coords": [[0.0000, 0.0000, 0.0000], [0.5000, 0.0000, 0.0000], [0.0000, 0.6667, 0.3334], [0.5000, 0.3333, 0.6666], [0.0000, 0.3333, 0.6666], [0.5000, 0.6667, 0.3334], [0.7500, 0.6631, 0.6632], [0.7500, 0.0000, 0.3368], [0.7500, 0.3368, 0.0000], [0.2500, 0.3369, 0.3368], [0.2500, 0.0000, 0.6632], [0.2500, 0.6632, 0.0000], [0.7500, 0.3402, 0.3403], [0.7500, 0.9999, 0.6597], [0.7500, 0.6597, 0.0000], [0.2500, 0.6598, 0.6597], [0.2500, 0.0001, 0.3403], [0.2500, 0.3403, 0.0000]]}

---

(18)
{"formula": "AcLaHoAl", "functional": "PBE", "state": "optimized geometry", "lattice": [[-2.1214, 4.5257, -2.5323], [-3.0136, -0.5680, -4.6894], [-5.5248, 0.9294, 0.0904]], "species": ["Ac", "Al", "Ho", "La"], "frac_coords": [[0.7500, 0.7500, 0.7500], [0.2500, 0.2500, 0.2500], [0.0000, 0.0000, 0.0000], [0.5000, 0.5000, 0.5000]]}

---

(19)
{"formula": "LiAcHoAl", "functional": "PBE", "state": "optimized geometry", "lattice": [[5.3958, 0.0000, 0.0000], [2.6979, 4.6729, 0.0000], [2.6979, 1.5576, 4.4056]], "species": ["Ac", "Li", "Ho", "Al"], "frac_coords": [[0.2500, 0.2500, 0.2500], [0.0000, 0.0000, 0.0000], [0.7500, 0.7500, 0.7500], [0.5000, 0.5000, 0.5000]]}

---

(20)
{"formula": "AcHoLuAl", "functional": "PBE", "state": "optimized geometry", "lattice": [[5.5144, 0.0000, 0.0000], [2.7572, 4.7756, 0.0000], [2.7572, 1.5919, 4.5025]], "species": ["Ac", "Lu", "Ho", "Al"], "frac_coords": [[0.5000, 0.5000, 0.5000], [0.7500, 0.7500, 0.7500], [0.0000, 0.0000, 0.0000], [0.2500, 0.2500, 0.2500]]}

---

Number 1: E_form -0.3577 eV/atom, N(E_F) 3.62 states/eV/cell. Number 2: E_form -0.1029 eV/atom, N(E_F) 3.39 states/eV/cell. Number 3: E_form -0.3532 eV/atom, N(E_F) 5.05 states/eV/cell. Number 4: E_form 0.0075 eV/atom, N(E_F) 11.64 states/eV/cell. Number 5: E_form -0.3837 eV/atom, N(E_F) 5.31 states/eV/cell. Number 6: E_form -0.3783 eV/atom, N(E_F) 4.76 states/eV/cell. Number 7: E_form -0.0292 eV/atom, N(E_F) 2.65 states/eV/cell. Number 8: E_form -0.3711 eV/atom, N(E_F) 7.11 states/eV/cell. Number 9: E_form -0.3700 eV/atom, N(E_F) 7.58 states/eV/cell. Number 10: E_form -0.1522 eV/atom, N(E_F) 1.88 states/eV/cell. Number 11: E_form -0.4369 eV/atom, N(E_F) 6.14 states/eV/cell. Number 12: E_form -0.4448 eV/atom, N(E_F) 9.21 states/eV/cell. Number 13: E_form -0.3032 eV/atom, N(E_F) 2.66 states/eV/cell. Number 14: E_form -0.2975 eV/atom, N(E_F) 7.07 states/eV/cell. Number 15: E_form -0.0585 eV/atom, N(E_F) 4.20 states/eV/cell. Number 16: E_form -0.0916 eV/atom, N(E_F) 20.65 states/eV/cell. Number 17: E_form -0.2040 eV/atom, N(E_F) 21.62 states/eV/cell. Number 18: E_form 0.0518 eV/atom, N(E_F) 6.43 states/eV/cell. Number 19: E_form -0.1234 eV/atom, N(E_F) 3.62 states/eV/cell. Number 20: E_form -0.0045 eV/atom, N(E_F) 6.04 states/eV/cell.